Entry 1:
# Li2AcSm2Si2, optimized geometry, DFT PBE
data_Li2AcSm2Si2
_space_group_name_H-M_alt 'P 1'
_space_group_IT_number 1
_space_group_name_Hall 'P 1'
_cell_length_a 4.597
_cell_length_b 4.597
_cell_length_c 9.708
_cell_angle_alpha 76.31
_cell_angle_beta 76.31
_cell_angle_gamma 60.00
loop_
_atom_site_label
_atom_site_fract_x
_atom_site_fract_y
_atom_site_fract_z
Li1 0.588 0.588 0.237
Li2 0.412 0.412 0.763
Ac1 0.000 0.000 0.000
Sm1 0.130 0.130 0.609
Sm2 0.870 0.870 0.391
Si1 0.745 0.745 0.765
Si2 0.255 0.255 0.235
# Total magnetic moment: 0.00 Bohr magnetons per cell
# DFT total energy: -4.4086 eV per atom
# Symmetry: No. 166

Entry 2:
# PrGeCl, optimized geometry, DFT PBE
data_PrGeCl
_space_group_name_H-M_alt 'P 1'
_space_group_IT_number 1
_space_group_name_Hall 'P 1'
_cell_length_a 4.970
_cell_length_b 4.971
_cell_length_c 8.912
_cell_angle_alpha 94.71
_cell_angle_beta 97.30
_cell_angle_gamma 128.68
loop_
_atom_site_label
_atom_site_fract_x
_atom_site_fract_y
_atom_site_fract_z
Pr1 0.450 0.308 0.759
Pr2 0.550 0.692 0.241
Ge1 0.234 0.689 0.923
Ge2 0.766 0.311 0.077
Cl1 0.706 0.904 0.610
Cl2 0.294 0.096 0.390
# Total magnetic moment: 0.00 Bohr magnetons per cell
# DFT total energy: -4.9720 eV per atom
# Symmetry: No. 12

Entry 3:
# Hf5Ga4C, optimized geometry, DFT PBE
data_Hf5Ga4C
_space_group_name_H-M_alt 'P 1'
_space_group_IT_number 1
_space_group_name_Hall 'P 1'
_cell_length_a 5.076
_cell_length_b 6.493
_cell_length_c 6.493
_cell_angle_alpha 81.21
_cell_angle_beta 66.99
_cell_angle_gamma 66.99
loop_
_atom_site_label
_atom_site_fract_x
_atom_site_fract_y
_atom_site_fract_z
Hf1 0.870 0.358 0.905
Hf2 0.228 0.905 0.642
Hf3 0.774 0.095 0.358
Hf4 0.132 0.642 0.095
Hf5 0.501 0.000 0.000
Ga1 0.445 0.412 0.700
Ga2 0.857 0.700 0.588
Ga3 0.145 0.300 0.412
Ga4 0.557 0.588 0.300
C1 0.001 0.000 0.000
# Total magnetic moment: 0.00 Bohr magnetons per cell
# DFT total energy: -7.4513 eV per atom
# Symmetry: No. 87
# Formation enthalpy at 0 K: -341 meV per atom